(1)
First-principles (GGA-PBE) data for a relaxed structure of RbSnHg2, as listed in Alexandria via LeMat-Bulk.

Computed properties:
For the energy of formation from the pure elements, the calculation gives -0.7 eV/f.u. The value obtained for the magnetic moment is 0.00 μB/f.u.

```
data_RbSnHg2
_chemical_formula_sum 'Rb4 Sn4 Hg8'
_symmetry_space_group_name_H-M 'P n m a'
_symmetry_Int_Tables_number 62
_cell_length_a 8.897
_cell_length_b 5.178
_cell_length_c 11.432
_cell_angle_alpha 90.00
_cell_angle_beta 90.00
_cell_angle_gamma 90.00
loop_
_symmetry_equiv_pos_as_xyz
'x,y,z'
'-x,-y,-z'
'-x+1/2,-y,z+1/2'
'x+1/2,y,-z+1/2'
'x+1/2,-y+1/2,-z+1/2'
'-x+1/2,y+1/2,z+1/2'
'-x,y+1/2,-z'
'x,-y+1/2,z'
loop_
_atom_site_label
_atom_site_type_symbol
_atom_site_fract_x
_atom_site_fract_y
_atom_site_fract_z
_atom_site_occupancy
Rb1 Rb 0.174 0.250 0.192 1
Sn1 Sn 0.006 0.750 0.427 1
Hg1 Hg 0.120 0.250 0.843 1
Hg2 Hg 0.177 0.750 0.981 1
```



(2)
First-principles (GGA-PBE) data for a relaxed structure of Pr3YTm2, as listed in Alexandria via LeMat-Bulk.

Computed properties:
For the energy of formation from the pure elements, the calculation gives 0.7 eV/f.u. The value obtained for the magnetic moment is 0.00 μB/f.u.

```
data_Pr3YTm2
_chemical_formula_sum 'Pr12 Y4 Tm8'
_symmetry_space_group_name_H-M 'C 1 2/m 1'
_symmetry_Int_Tables_number 12
_cell_length_a 13.275
_cell_length_b 3.563
_cell_length_c 17.803
_cell_angle_alpha 90.00
_cell_angle_beta 102.53
_cell_angle_gamma 90.00
loop_
_symmetry_equiv_pos_as_xyz
'x,y,z'
'-x,-y,-z'
'-x,y,-z'
'x,-y,z'
'x+1/2,y+1/2,z'
'-x+1/2,-y+1/2,-z'
'-x+1/2,y+1/2,-z'
'x+1/2,-y+1/2,z'
loop_
_atom_site_label
_atom_site_type_symbol
_atom_site_fract_x
_atom_site_fract_y
_atom_site_fract_z
_atom_site_occupancy
Pr1 Pr 0.069 0.000 0.168 1
Pr2 Pr 0.128 0.500 0.990 1
Pr3 Pr 0.234 0.500 0.338 1
Y1 Y 0.041 0.500 0.681 1
Tm1 Tm 0.133 0.500 0.502 1
Tm2 Tm 0.196 0.000 0.834 1
```



(3)
First-principles (GGA-PBE) data for a relaxed structure of BaMgSi2, as listed in Alexandria via LeMat-Bulk.

Computed properties:
For the uncorrected formation energy, the calculation gives -0.197 eV per atom. The value obtained for the magnetic moment is 0.00 μB/f.u.

```
data_BaMgSi2
_chemical_formula_sum 'Ba1 Mg1 Si2'
_symmetry_space_group_name_H-M 'P 1 m 1'
_symmetry_Int_Tables_number 6
_cell_length_a 4.321
_cell_length_b 3.868
_cell_length_c 6.729
_cell_angle_alpha 90.00
_cell_angle_beta 108.55
_cell_angle_gamma 90.00
loop_
_symmetry_equiv_pos_as_xyz
'x,y,z'
'x,-y,z'
loop_
_atom_site_label
_atom_site_type_symbol
_atom_site_fract_x
_atom_site_fract_y
_atom_site_fract_z
_atom_site_occupancy
Ba1 Ba 0.000 0.000 0.000 1
Mg1 Mg 0.262 0.500 0.528 1
Si1 Si 0.622 0.500 0.246 1
Si2 Si 0.737 0.000 0.479 1
```



(4)
First-principles (GGA-PBE) data for a relaxed structure of BaInTe2, as listed in Alexandria via LeMat-Bulk.

Computed properties:
For the uncorrected formation energy, the calculation gives -0.532 eV per atom. The value obtained for the magnetic moment is 0.00 μB/f.u.

```
data_BaInTe2
_chemical_formula_sum 'Ba4 In4 Te8'
_symmetry_space_group_name_H-M 'F -4 3 m'
_symmetry_Int_Tables_number 216
_symmetry_space_group_name_Hall 'F -4 2 3'
_cell_length_a 8.205
_cell_length_b 8.205
_cell_length_c 8.205
_cell_angle_alpha 90.00
_cell_angle_beta 90.00
_cell_angle_gamma 90.00
loop_
_atom_site_label
_atom_site_type_symbol
_atom_site_fract_x
_atom_site_fract_y
_atom_site_fract_z
_atom_site_occupancy
Ba1 Ba 0.000 0.000 0.000 1
In1 In 0.250 0.250 0.250 1
Te1 Te 0.000 0.000 0.500 1
Te2 Te 0.250 0.250 0.750 1
```



(5)
First-principles (GGA-PBE) data for a relaxed structure of Bi2BrN, as listed in Alexandria via LeMat-Bulk.

Computed properties:
For the uncorrected formation energy, the calculation gives 0.393 eV per atom. The value obtained for the magnetic moment is 0.00 μB/f.u.

```
data_Bi2BrN
_chemical_formula_sum 'Bi8 Br4 N4'
_symmetry_space_group_name_H-M 'I -4 2 d'
_symmetry_Int_Tables_number 122
_symmetry_space_group_name_Hall 'I -4 2bw'
_cell_length_a 6.023
_cell_length_b 6.023
_cell_length_c 13.476
_cell_angle_alpha 90.00
_cell_angle_beta 90.00
_cell_angle_gamma 90.00
loop_
_atom_site_label
_atom_site_type_symbol
_atom_site_fract_x
_atom_site_fract_y
_atom_site_fract_z
_atom_site_occupancy
Bi1 Bi 0.121 0.250 0.125 1
Br1 Br 0.000 0.000 0.500 1
N1 N 0.000 0.000 0.000 1
```



(6)
First-principles (GGA-PBE) data for a relaxed structure of NaLiSbPd, as listed in Alexandria via LeMat-Bulk.

Computed properties:
For the uncorrected formation energy, the calculation gives -0.337 eV per atom. The value obtained for the magnetic moment is 0.00 μB/f.u.

```
data_NaLiSbPd
_chemical_formula_sum 'Na2 Li2 Sb2 Pd2'
_symmetry_space_group_name_H-M 'C 1 m 1'
_symmetry_Int_Tables_number 8
_cell_length_a 8.351
_cell_length_b 4.520
_cell_length_c 4.906
_cell_angle_alpha 90.00
_cell_angle_beta 104.74
_cell_angle_gamma 90.00
loop_
_symmetry_equiv_pos_as_xyz
'x,y,z'
'x,-y,z'
'x+1/2,y+1/2,z'
'x+1/2,-y+1/2,z'
loop_
_atom_site_label
_atom_site_type_symbol
_atom_site_fract_x
_atom_site_fract_y
_atom_site_fract_z
_atom_site_occupancy
Na1 Na 0.000 0.000 0.000 1
Li1 Li 0.337 0.000 0.182 1
Sb1 Sb 0.120 0.500 0.627 1
Pd1 Pd 0.292 0.000 0.660 1
```



(7)
First-principles (GGA-PBE) data for a relaxed structure of LiHo2N, as listed in Alexandria via LeMat-Bulk.

Computed properties:
For the uncorrected formation energy, the calculation gives -0.673 eV per atom. The value obtained for the magnetic moment is 0.23 μB/f.u.

```
data_LiHo2N
_chemical_formula_sum 'Li3 Ho6 N3'
_symmetry_space_group_name_H-M 'R -3 m'
_symmetry_Int_Tables_number 166
_symmetry_space_group_name_Hall '-R 3 2"'
_cell_length_a 3.4082
_cell_length_b 3.4082
_cell_length_c 27.0958
_cell_angle_alpha 90.00
_cell_angle_beta 90.00
_cell_angle_gamma 120.00
loop_
_atom_site_label
_atom_site_type_symbol
_atom_site_fract_x
_atom_site_fract_y
_atom_site_fract_z
_atom_site_occupancy
Li1 Li 0.0000 0.0000 0.0000 1
Ho1 Ho 0.0000 0.0000 0.1176 1
N1 N 0.0000 0.0000 0.5000 1
```



(8)
First-principles (GGA-PBE) data for a relaxed structure of TlPdSe2, as listed in Alexandria via LeMat-Bulk.

Computed properties:
For the uncorrected formation energy, the calculation gives -0.193 eV per atom. The value obtained for the magnetic moment is 0.00 μB/f.u.

```
data_TlPdSe2
_chemical_formula_sum 'Tl4 Pd4 Se8'
_symmetry_space_group_name_H-M 'C 1 2/c 1'
_symmetry_Int_Tables_number 15
_cell_length_a 8.648
_cell_length_b 9.204
_cell_length_c 5.541
_cell_angle_alpha 90.00
_cell_angle_beta 114.08
_cell_angle_gamma 90.00
loop_
_symmetry_equiv_pos_as_xyz
'x,y,z'
'-x,-y,-z'
'-x,y,-z+1/2'
'x,-y,z+1/2'
'x+1/2,y+1/2,z'
'-x+1/2,-y+1/2,-z'
'-x+1/2,y+1/2,-z+1/2'
'x+1/2,-y+1/2,z+1/2'
loop_
_atom_site_label
_atom_site_type_symbol
_atom_site_fract_x
_atom_site_fract_y
_atom_site_fract_z
_atom_site_occupancy
Tl1 Tl 0.000 0.136 0.250 1
Pd1 Pd 0.000 0.498 0.250 1
Se1 Se 0.224 0.367 0.117 1
```



(9)
First-principles (GGA-PBE) data for a relaxed structure of RbTb4PmSe8, as listed in Alexandria via LeMat-Bulk.

Computed properties:
For the uncorrected formation energy, the calculation gives -1.726 eV per atom. The value obtained for the magnetic moment is 0.00 μB/f.u.

```
data_RbTb4PmSe8
_chemical_formula_sum 'Rb3 Tb12 Pm3 Se24'
_symmetry_space_group_name_H-M 'R 3 m'
_symmetry_Int_Tables_number 160
_symmetry_space_group_name_Hall 'R 3 -2"'
_cell_length_a 8.6603
_cell_length_b 8.6603
_cell_length_c 21.5482
_cell_angle_alpha 90.00
_cell_angle_beta 90.00
_cell_angle_gamma 120.00
loop_
_atom_site_label
_atom_site_type_symbol
_atom_site_fract_x
_atom_site_fract_y
_atom_site_fract_z
_atom_site_occupancy
Rb1 Rb 0.0000 0.0000 0.0000 1
Tb1 Tb 0.0000 0.0000 0.2539 1
Tb2 Tb 0.1725 0.3450 0.4601 1
Pm1 Pm 0.0000 0.0000 0.6334 1
Se1 Se 0.0000 0.0000 0.3855 1
Se2 Se 0.0000 0.0000 0.8594 1
Se3 Se 0.0432 0.5216 0.3864 1
Se4 Se 0.1750 0.3500 0.2083 1
```



(10)
First-principles (GGA-PBE) data for a relaxed structure of VCoIr, as listed in Alexandria via LeMat-Bulk.

Computed properties:
For the energy of formation from the pure elements, the calculation gives -0.4 eV/f.u. The value obtained for the magnetic moment is 0.78 μB/f.u.

```
data_VCoIr
_chemical_formula_sum 'V2 Co2 Ir2'
_symmetry_space_group_name_H-M 'P 63/m m c'
_symmetry_Int_Tables_number 194
_symmetry_space_group_name_Hall '-P 6c 2c'
_cell_length_a 4.1705
_cell_length_b 4.1705
_cell_length_c 5.1743
_cell_angle_alpha 90.00
_cell_angle_beta 90.00
_cell_angle_gamma 120.00
loop_
_atom_site_label
_atom_site_type_symbol
_atom_site_fract_x
_atom_site_fract_y
_atom_site_fract_z
_atom_site_occupancy
V1 V 0.0000 0.0000 0.0000 1
Co1 Co 0.3333 0.6667 0.2500 1
Ir1 Ir 0.3333 0.6667 0.7500 1
```



(11)
First-principles (GGA-PBE) data for a relaxed structure of HgPd2O3, as listed in Alexandria via LeMat-Bulk.

Computed properties:
For the uncorrected formation energy, the calculation gives -0.335 eV per atom. The value obtained for the magnetic moment is 0.00 μB/f.u.

```
data_HgPd2O3
_chemical_formula_sum 'Hg2 Pd4 O6'
_symmetry_space_group_name_H-M 'P -3 m 1'
_symmetry_Int_Tables_number 164
_symmetry_space_group_name_Hall '-P 3 2"'
_cell_length_a 6.3134
_cell_length_b 6.3134
_cell_length_c 5.1395
_cell_angle_alpha 90.00
_cell_angle_beta 90.00
_cell_angle_gamma 120.00
loop_
_atom_site_label
_atom_site_type_symbol
_atom_site_fract_x
_atom_site_fract_y
_atom_site_fract_z
_atom_site_occupancy
Hg1 Hg 0.3333 0.6667 0.0646 1
Pd1 Pd 0.0000 0.0000 0.5000 1
Pd2 Pd 0.0000 0.5000 0.5000 1
O1 O 0.1753 0.3506 0.6946 1
```



(12)
First-principles (GGA-PBE) data for a relaxed structure of BaCr2Ni, as listed in Alexandria via LeMat-Bulk.

Computed properties:
For the energy of formation from the pure elements, the calculation gives 4.2 eV/f.u. The value obtained for the magnetic moment is 9.58 μB/f.u.

```
data_BaCr2Ni
_chemical_formula_sum 'Ba2 Cr4 Ni2'
_symmetry_space_group_name_H-M 'I 4/m m m'
_symmetry_Int_Tables_number 139
_symmetry_space_group_name_Hall '-I 4 2'
_cell_length_a 4.383
_cell_length_b 4.383
_cell_length_c 9.242
_cell_angle_alpha 90.00
_cell_angle_beta 90.00
_cell_angle_gamma 90.00
loop_
_atom_site_label
_atom_site_type_symbol
_atom_site_fract_x
_atom_site_fract_y
_atom_site_fract_z
_atom_site_occupancy
Ba1 Ba 0.000 0.000 0.000 1
Cr1 Cr 0.000 0.500 0.250 1
Ni1 Ni 0.000 0.000 0.500 1
```



The records above yield electronic total energy values of -1.5772, -4.8463, -3.7875, -3.2686, -4.0466, -3.4742, -5.5212, -3.8246, -5.4489, -8.4949, -4.5951, -5.6876 eV per atom, respectively.